(1)
This record from the Alexandria database describes a geometry-optimized LiPrCoSb structure. The functional is GGA-PBE.

a b c (Å): 6.662 6.662 6.662
angles (deg): 90.00 90.00 90.00
Space group F-43m (No. 216)
Symmetry-distinct sites (fractional):
Li1 0.000 0.000 0.000 x4
Pr1 0.250 0.250 0.250 x4
Co1 0.000 0.000 0.500 x4
Sb1 0.250 0.250 0.750 x4

## Properties
* E: -4.940 eV per atom

(2)
This record from the Alexandria database describes a geometry-optimized LiPrCoSn structure. The functional is GGA-PBE.

a b c (Å): 6.735 6.735 6.735
angles (deg): 90.00 90.00 90.00
Space group F-43m (No. 216)
Symmetry-distinct sites (fractional):
Li1 0.000 0.000 0.000 x4
Pr1 0.250 0.250 0.750 x4
Co1 0.000 0.000 0.500 x4
Sn1 0.250 0.250 0.250 x4

## Properties
* E: -4.766 eV per atom
* calculated formation energy: -0.32 eV per atom

(3)
This record from the Alexandria database describes a geometry-optimized LiTbPrCo structure. The functional is GGA-PBE.

a b c (Å): 7.043 7.043 7.043
angles (deg): 90.00 90.00 90.00
Space group F-43m (No. 216)
Symmetry-distinct sites (fractional):
Li1 0.000 0.000 0.000 x4
Tb1 0.250 0.250 0.250 x4
Pr1 0.250 0.250 0.750 x4
Co1 0.000 0.000 0.500 x4

## Properties
* E: -4.597 eV per atom
* calculated formation energy: 0.01 eV per atom

(4)
This record from the Alexandria database describes a geometry-optimized LiPrTmCo structure. The functional is GGA-PBE.

a b c (Å): 6.979 6.979 6.979
angles (deg): 90.00 90.00 90.00
Space group F-43m (No. 216)
Symmetry-distinct sites (fractional):
Li1 0.000 0.000 0.000 x4
Pr1 0.250 0.250 0.250 x4
Tm1 0.250 0.250 0.750 x4
Co1 0.000 0.000 0.500 x4

## Properties
* E: -4.584 eV per atom
* calculated formation energy: -0.02 eV per atom

(5)
This record from the Alexandria database describes a geometry-optimized LiPrYCo structure. The functional is GGA-PBE.

a b c (Å): 7.044 7.044 7.044
angles (deg): 90.00 90.00 90.00
Space group F-43m (No. 216)
Symmetry-distinct sites (fractional):
Li1 0.000 0.000 0.000 x4
Pr1 0.250 0.250 0.750 x4
Y1 0.250 0.250 0.250 x4
Co1 0.000 0.000 0.500 x4

## Properties
* E: -5.059 eV per atom
* calculated formation energy: 0.01 eV per atom

(6)
This record from the Alexandria database describes a geometry-optimized LiCo2Pt structure. The functional is GGA-PBE.

a b c (Å): 2.6528 2.6528 25.4452
angles (deg): 90.00 90.00 120.00
Space group R3m (No. 160, hexagonal axes)
Symmetry-distinct sites (fractional):
Li1 0.0000 0.0000 0.0000 x3
Co1 0.0000 0.0000 0.2450 x3
Co2 0.0000 0.0000 0.5048 x3
Pt1 0.0000 0.0000 0.7509 x3

## Properties
* E: -5.614 eV per atom
* calculated formation energy: -0.07 eV per atom

(7)
This record from the Alexandria database describes a geometry-optimized Li3CoPt structure. The functional is GGA-PBE.

a b c (Å): 4.669 4.669 4.669
angles (deg): 90.00 90.00 90.00
Space group Pm-3m (No. 221)
Symmetry-distinct sites (fractional):
Li1 0.000 0.000 0.500 x3
Co1 0.500 0.500 0.500 x1
Pt1 0.000 0.000 0.000 x1

## Properties
* E: -3.292 eV per atom
* calculated formation energy: 0.49 eV per atom
* distance to the lowest polymorph of the same formula: 0 meV per atom

(8)
This record from the Alexandria database describes a geometry-optimized LiCo2Pt structure. The functional is GGA-PBE.

a b c (Å): 2.712 4.436 8.677
angles (deg): 90.00 90.00 90.00
Space group Cmm2 (No. 35)
Symmetry-distinct sites (fractional):
Li1 0.000 0.000 0.000 x2
Co1 0.000 0.000 0.521 x2
Co2 0.000 0.500 0.743 x2
Pt1 0.000 0.500 0.253 x2

## Properties
* E: -5.536 eV per atom
* calculated formation energy: 0.01 eV per atom

(9)
This record from the Alexandria database describes a geometry-optimized LiCo2Pt structure. The functional is GGA-PBE.

a b c (Å): 8.525 2.649 4.523
angles (deg): 90.00 101.44 90.00
Space group Cm (No. 8)
Symmetry-distinct sites (fractional):
Li1 0.000 0.000 0.000 x2
Co1 0.261 0.500 0.287 x2
Co2 0.498 0.000 0.481 x2
Pt1 0.244 0.000 0.779 x2

## Properties
* E: -5.616 eV per atom
* calculated formation energy: -0.07 eV per atom

(10)
This record from the Alexandria database describes a geometry-optimized LiCoPt2 structure. The functional is GGA-PBE.

a b c (Å): 3.721 3.721 7.876
angles (deg): 90.00 90.00 90.00
Space group I-4m2 (No. 119)
Symmetry-distinct sites (fractional):
Li1 0.000 0.000 0.000 x2
Co1 0.000 0.500 0.250 x2
Pt1 0.000 0.000 0.500 x2
Pt2 0.000 0.500 0.750 x2

## Properties
* E: -5.492 eV per atom
* calculated formation energy: -0.22 eV per atom

(11)
This record from the Alexandria database describes a geometry-optimized LiCo2Pt structure. The functional is GGA-PBE.

a b c (Å): 3.499 3.499 4.008
angles (deg): 90.00 90.00 90.00
Space group P4/mmm (No. 123)
Symmetry-distinct sites (fractional):
Li1 0.000 0.000 0.000 x1
Co1 0.000 0.500 0.500 x2
Pt1 0.500 0.500 0.000 x1

## Properties
* E: -5.605 eV per atom
* calculated formation energy: -0.06 eV per atom

(12)
This record from the Alexandria database describes a geometry-optimized LiCoPt3 structure. The functional is GGA-PBE.

a b c (Å): 4.597 4.597 4.597
angles (deg): 90.00 90.00 90.00
Space group Pm-3m (No. 221)
Symmetry-distinct sites (fractional):
Li1 0.000 0.000 0.000 x1
Co1 0.500 0.500 0.500 x1
Pt1 0.000 0.500 0.500 x3

## Properties
* E: -4.830 eV per atom
* calculated formation energy: 0.60 eV per atom
* distance to the lowest polymorph of the same formula: 0 meV per atom

(13)
This record from the Alexandria database describes a geometry-optimized LiCo2Pt structure. The functional is GGA-PBE.

a b c (Å): 3.518 3.518 7.938
angles (deg): 90.00 90.00 90.00
Space group I4/mmm (No. 139)
Symmetry-distinct sites (fractional):
Li1 0.000 0.000 0.000 x2
Co1 0.000 0.500 0.250 x4
Pt1 0.000 0.000 0.500 x2

## Properties
* E: -5.615 eV per atom
* calculated formation energy: -0.07 eV per atom

(14)
This record from the Alexandria database describes a geometry-optimized LiCo2Pt structure. The functional is GGA-PBE.

a b c (Å): 4.895 7.869 2.603
angles (deg): 90.00 90.00 90.00
Space group Cmmm (No. 65)
Symmetry-distinct sites (fractional):
Li1 0.000 0.000 0.000 x2
Co1 0.250 0.250 0.500 x4
Pt1 0.000 0.500 0.000 x2

## Properties
* E: -5.596 eV per atom
* calculated formation energy: -0.05 eV per atom

(15)
This record from the Alexandria database describes a geometry-optimized LiCo2Pt structure. The functional is GGA-PBE.

a b c (Å): 2.857 3.992 8.478
angles (deg): 90.00 90.00 90.00
Space group Immm (No. 71)
Symmetry-distinct sites (fractional):
Li1 0.000 0.000 0.000 x2
Co1 0.000 0.500 0.255 x4
Pt1 0.000 0.000 0.500 x2

## Properties
* E: -5.636 eV per atom
* calculated formation energy: -0.09 eV per atom

(16)
This record from the Alexandria database describes a geometry-optimized LiCo2Pt structure. The functional is GGA-PBE.

a b c (Å): 2.582 4.115 4.853
angles (deg): 90.00 105.33 90.00
Space group P2/m (No. 10)
Symmetry-distinct sites (fractional):
Li1 0.000 0.000 0.000 x1
Co1 0.209 0.500 0.760 x2
Pt1 0.500 0.000 0.500 x1

## Properties
* E: -5.575 eV per atom
* calculated formation energy: -0.03 eV per atom

(17)
This record from the Alexandria database describes a geometry-optimized LiCoPt2 structure. The functional is GGA-PBE.

a b c (Å): 3.900 3.900 7.104
angles (deg): 90.00 90.00 90.00
Space group I4/mmm (No. 139)
Symmetry-distinct sites (fractional):
Li1 0.000 0.000 0.000 x2
Co1 0.000 0.000 0.500 x2
Pt1 0.000 0.500 0.250 x4

## Properties
* E: -5.547 eV per atom
* calculated formation energy: -0.27 eV per atom

(18)
This record from the Alexandria database describes a geometry-optimized LiCo2Pt structure. The functional is GGA-PBE.

a b c (Å): 2.816 4.292 8.302
angles (deg): 90.00 90.00 90.00
Space group Imm2 (No. 44)
Symmetry-distinct sites (fractional):
Li1 0.000 0.000 0.000 x2
Co1 0.000 0.000 0.522 x2
Co2 0.000 0.500 0.247 x2
Pt1 0.000 0.500 0.761 x2

## Properties
* E: -5.586 eV per atom
* calculated formation energy: -0.04 eV per atom

(19)
This record from the Alexandria database describes a geometry-optimized LiCo2Pt structure. The functional is GGA-PBE.

a b c (Å): 2.621 2.621 7.699
angles (deg): 90.00 90.00 90.00
Space group P4/mmm (No. 123)
Symmetry-distinct sites (fractional):
Li1 0.000 0.000 0.000 x1
Co1 0.500 0.500 0.254 x2
Pt1 0.000 0.000 0.500 x1

## Properties
* E: -5.406 eV per atom
* calculated formation energy: 0.14 eV per atom

(20)
This record from the Alexandria database describes a geometry-optimized LiCo2Pt structure. The functional is GGA-PBE.

a b c (Å): 2.623 3.623 5.220
angles (deg): 90.00 90.00 90.00
Space group Pmm2 (No. 25)
Symmetry-distinct sites (fractional):
Li1 0.000 0.000 0.000 x1
Co1 0.000 0.000 0.521 x1
Co2 0.500 0.500 0.737 x1
Pt1 0.500 0.500 0.240 x1

## Properties
* E: -5.607 eV per atom
* calculated formation energy: -0.07 eV per atom

(21)
This record from the Alexandria database describes a geometry-optimized LiCoPt2 structure. The functional is GGA-PBE.

a b c (Å): 2.731 2.731 7.373
angles (deg): 90.00 90.00 90.00
Space group P4/mmm (No. 123)
Symmetry-distinct sites (fractional):
Li1 0.000 0.000 0.000 x1
Co1 0.000 0.000 0.500 x1
Pt1 0.500 0.500 0.257 x2

## Properties
* E: -5.575 eV per atom
* calculated formation energy: -0.30 eV per atom

(22)
This record from the Alexandria database describes a geometry-optimized Li2CoPt2 structure. The functional is GGA-PBE.

a b c (Å): 6.899 6.899 2.719
angles (deg): 90.00 90.00 90.00
Space group P4/mbm (No. 127)
Symmetry-distinct sites (fractional):
Li1 0.111 0.389 0.000 x4
Co1 0.000 0.000 0.000 x2
Pt1 0.190 0.690 0.500 x4

## Properties
* E: -4.761 eV per atom
* calculated formation energy: -0.16 eV per atom
* distance to the lowest polymorph of the same formula: 0 meV per atom

(23)
This record from the Alexandria database describes a geometry-optimized LiCoPt2 structure. The functional is GGA-PBE.

a b c (Å): 2.720 3.642 5.484
angles (deg): 90.00 90.00 90.00
Space group Pmmm (No. 47)
Symmetry-distinct sites (fractional):
Li1 0.000 0.000 0.000 x1
Co1 0.000 0.000 0.500 x1
Pt1 0.500 0.500 0.250 x2

## Properties
* E: -5.557 eV per atom
* calculated formation energy: -0.28 eV per atom

(24)
This record from the Alexandria database describes a geometry-optimized LiCo2Pt structure. The functional is GGA-PBE.

a b c (Å): 2.6378 2.6378 26.3444
angles (deg): 90.00 90.00 120.00
Space group R-3m (No. 166, hexagonal axes)
Symmetry-distinct sites (fractional):
Li1 0.0000 0.0000 0.0000 x3
Co1 0.0000 0.0000 0.2496 x6
Pt1 0.0000 0.0000 0.5000 x3

## Properties
* E: -5.446 eV per atom
* calculated formation energy: 0.10 eV per atom

(25)
This record from the Alexandria database describes a geometry-optimized LiCoPt2 structure. The functional is GGA-PBE.

a b c (Å): 2.763 4.353 4.673
angles (deg): 90.00 90.00 90.00
Space group Pmmm (No. 47)
Symmetry-distinct sites (fractional):
Li1 0.000 0.000 0.000 x1
Co1 0.500 0.000 0.500 x1
Pt1 0.000 0.500 0.500 x1
Pt2 0.500 0.500 0.000 x1

## Properties
* E: -5.453 eV per atom
* calculated formation energy: -0.18 eV per atom

(26)
This record from the Alexandria database describes a geometry-optimized LiCoPt2 structure. The functional is GGA-PBE.

a b c (Å): 2.7252 2.7252 25.9457
angles (deg): 90.00 90.00 120.00
Space group R-3m (No. 166, hexagonal axes)
Symmetry-distinct sites (fractional):
Li1 0.0000 0.0000 0.0000 x3
Co1 0.0000 0.0000 0.5000 x3
Pt1 0.0000 0.0000 0.2490 x6

## Properties
* E: -5.570 eV per atom
* calculated formation energy: -0.29 eV per atom

(27)
This record from the Alexandria database describes a geometry-optimized LiCoPt2 structure. The functional is GGA-PBE.

a b c (Å): 3.922 3.922 3.517
angles (deg): 90.00 90.00 90.00
Space group P4/mmm (No. 123)
Symmetry-distinct sites (fractional):
Li1 0.000 0.000 0.000 x1
Co1 0.500 0.500 0.000 x1
Pt1 0.000 0.500 0.500 x2

## Properties
* E: -5.531 eV per atom
* calculated formation energy: -0.26 eV per atom

(28)
This record from the Alexandria database describes a geometry-optimized LiCoPt2 structure. The functional is GGA-PBE.

a b c (Å): 6.082 6.082 6.082
angles (deg): 90.00 90.00 90.00
Space group F-43m (No. 216)
Symmetry-distinct sites (fractional):
Li1 0.000 0.000 0.000 x4
Co1 0.250 0.250 0.250 x4
Pt1 0.000 0.000 0.500 x4
Pt2 0.250 0.250 0.750 x4

## Properties
* E: -5.369 eV per atom
* calculated formation energy: -0.09 eV per atom

(29)
This record from the Alexandria database describes a geometry-optimized LiCoPt2 structure. The functional is GGA-PBE.

a b c (Å): 3.803 3.803 16.887
angles (deg): 90.00 90.00 90.00
Space group I-42d (No. 122)
Symmetry-distinct sites (fractional):
Li1 0.000 0.000 0.000 x4
Co1 0.000 0.000 0.500 x4
Pt1 0.249 0.250 0.125 x8

## Properties
* E: -5.163 eV per atom
* calculated formation energy: 0.11 eV per atom

(30)
This record from the Alexandria database describes a geometry-optimized LiCoPt2 structure. The functional is GGA-PBE.

a b c (Å): 2.710 4.373 4.539
angles (deg): 90.00 90.00 90.00
Space group Pmm2 (No. 25)
Symmetry-distinct sites (fractional):
Li1 0.000 0.000 0.000 x1
Co1 0.000 0.500 0.370 x1
Pt1 0.500 0.000 0.496 x1
Pt2 0.500 0.500 0.886 x1

## Properties
* E: -5.565 eV per atom
* calculated formation energy: -0.29 eV per atom